Compound: Li3Er3ZrSe8
Source: the Alexandria database
Functional: PBE
Structure: relaxed

Cell: 8.0066 8.0066 19.5092 Å, 90.00 90.00 120.00°
Last column: nearest neighbours and their distance in Å.
Space group R-3m (No. 166, hexagonal axes)
Symmetry-distinct sites (fractional):
Li: 0.0000 0.5000 0.0000  6 Se 2.81-2.82
Er: 0.0000 0.5000 0.5000  6 Se 2.84
Zr: 0.0000 0.0000 0.5000  6 Se 2.74
Se: 0.0000 0.0000 0.2508  3 Li 2.82, 3 Er 2.84
Se: 0.0121 0.5061 0.2481  1 Zr 2.74, 2 Li 2.81, 2 Er 2.84

As for the calculated density: 5.73 g cm⁻³. For the electronic total energy, the calculation gives -240.412 eV/cell. Its uncorrected formation energy is -1619 meV/atom.



Compound: NbPPdCl2
Source: the Alexandria database
Functional: PBE
Structure: relaxed

Cell: 4.7917 4.7917 4.9633 Å, 90.00 90.00 90.00°
Last column: nearest neighbours and their distance in Å.
Space group P4/mmm (No. 123)
Symmetry-distinct sites (fractional):
Nb: 0.0000 0.0000 0.0000  4 Cl 2.40, 2 P 2.48
P: 0.0000 0.0000 0.5000  2 Nb 2.48
Pd: 0.5000 0.5000 0.5000  4 P 3.39, 8 Cl 3.45
Cl: 0.0000 0.5000 0.0000  2 Nb 2.40

As for the calculated density: 4.39 g cm⁻³. For the electronic total energy, the calculation gives -23.891 eV/cell. Its uncorrected formation energy is 95 meV/atom.